8
Lattice="4.371 0.000 0.000 0.000 4.371 0.000 0.000 0.000 8.983" Properties=species:S:1:pos:R:3 comment="PBE Cd2FeTe, relaxed" crystal_system=tetragonal total_magnetization_mub_per_cell=5.5 e_form_raw_ev_per_atom=0.40 e_tot_ev_per_cell=-23.64 vol_a3_per_atom=21.45 pbc="T T T"
Cd 0.000 0.000 0.000
Cd 0.000 2.185 2.246
Cd 2.185 0.000 6.737
Cd 2.185 2.185 4.491
Fe 0.000 2.185 6.737
Fe 2.185 0.000 2.246
Te 0.000 0.000 4.491
Te 2.185 2.185 0.000

12
Lattice="3.074 0.000 0.000 0.000 3.074 0.000 0.000 0.000 20.886" Properties=species:S:1:pos:R:3 comment="PBE Mo2As, relaxed" crystal_system=tetragonal total_magnetization_mub_per_cell=0.0 e_tot_ev_per_cell=-100.85 vol_a3_per_atom=16.44 delta_e_f_ev_per_atom=0.37 pbc="T T T"
Mo 0.000 0.768 6.244
Mo 0.000 0.768 9.420
Mo 0.000 2.305 11.466
Mo 0.000 2.305 14.641
Mo 1.537 0.768 1.023
Mo 1.537 0.768 4.199
Mo 1.537 2.305 16.687
Mo 1.537 2.305 19.863
As 0.000 0.768 18.275
As 0.000 2.305 2.611
As 1.537 0.768 13.054
As 1.537 2.305 7.832

8
Lattice="5.781 0.000 0.000 0.000 5.781 0.000 0.000 0.000 5.781" Properties=species:S:1:pos:R:3 comment="PBE Na4BrCl3, relaxed" crystal_system=cubic total_magnetization_mub_per_cell=0.0 e_form_raw_ev_per_atom=-1.73 e_tot_ev_per_cell=-26.37 vol_a3_per_atom=24.15 pbc="T T T"
Na 0.000 0.000 0.000
Na 0.000 2.891 2.891
Na 2.891 0.000 2.891
Na 2.891 2.891 0.000
Br 2.891 2.891 2.891
Cl 0.000 0.000 2.891
Cl 0.000 2.891 0.000
Cl 2.891 0.000 0.000

12
Lattice="9.907 -1.963 0.000 9.907 1.963 0.000 -2.670 0.000 8.272" Properties=species:S:1:pos:R:3 comment="PBE Sm6Co2AgCl3, relaxed" crystal_system=monoclinic total_magnetization_mub_per_cell=0.0 e_form_raw_ev_per_atom=-0.81 e_tot_ev_per_cell=-60.59 vol_a3_per_atom=26.81 pbc="T T T"
Sm -0.034 0.000 2.238
Sm 5.111 0.000 3.515
Sm 4.336 0.000 7.218
Sm 12.807 0.000 1.054
Sm 12.032 0.000 4.757
Sm 17.177 0.000 6.033
Co 2.469 0.000 2.880
Co 14.675 0.000 5.392
Ag 9.907 0.000 0.000
Cl 1.246 0.000 7.029
Cl 8.572 0.000 4.136
Cl 15.897 0.000 1.243

8
Lattice="8.907 0.000 0.000 0.000 2.689 0.000 -0.805 0.000 4.568" Properties=species:S:1:pos:R:3 comment="PBE CoTcIr2, relaxed" crystal_system=monoclinic total_magnetization_mub_per_cell=2.2 e_tot_ev_per_cell=-70.71 vol_a3_per_atom=13.68 delta_e_f_ev_per_atom=-0.04 pbc="T T T"
Co 0.000 0.000 0.000
Co 4.454 1.345 0.000
Tc -0.402 1.345 2.284
Tc 4.051 0.000 2.284
Ir 2.024 1.345 1.125
Ir 1.625 0.000 3.444
Ir 6.477 0.000 1.125
Ir 6.079 1.345 3.444

10
Lattice="3.903 0.000 0.000 0.000 3.903 0.000 0.000 0.000 11.136" Properties=species:S:1:pos:R:3 comment="PBE Ti2Cu2Hg, relaxed" crystal_system=tetragonal total_magnetization_mub_per_cell=0.0 e_tot_ev_per_cell=-46.33 vol_a3_per_atom=16.96 delta_e_f_ev_per_atom=0.22 pbc="T T T"
Ti 0.000 1.951 2.784
Ti 0.000 1.951 8.352
Ti 1.951 0.000 2.784
Ti 1.951 0.000 8.352
Cu 0.000 0.000 1.140
Cu 0.000 0.000 9.996
Cu 1.951 1.951 4.428
Cu 1.951 1.951 6.708
Hg 0.000 0.000 5.568
Hg 1.951 1.951 0.000

9
Lattice="6.045 -1.970 0.000 6.045 1.970 0.000 -2.021 0.000 6.034" Properties=species:S:1:pos:R:3 comment="PBE Nb2PdPt6, relaxed" crystal_system=monoclinic total_magnetization_mub_per_cell=0.0 e_tot_ev_per_cell=-66.47 vol_a3_per_atom=15.97 delta_e_f_ev_per_atom=-0.54 pbc="T T T"
Nb 0.067 0.000 1.975
Nb 10.001 0.000 4.059
Pd 6.045 0.000 0.000
Pt 1.984 0.000 0.026
Pt 2.043 0.000 4.004
Pt 4.123 0.000 2.032
Pt 5.946 0.000 4.002
Pt 8.025 0.000 2.029
Pt 8.085 0.000 6.008

18
Lattice="7.377 0.000 0.000 -3.688 6.388 0.000 0.000 0.000 13.381" Properties=species:S:1:pos:R:3 comment="PBE NaTlMoBr6, relaxed" crystal_system=trigonal total_magnetization_mub_per_cell=4.0 e_form_raw_ev_per_atom=-0.81 e_tot_ev_per_cell=-63.60 vol_a3_per_atom=35.03 pbc="T T T"
Na 0.000 4.259 3.345
Na 3.688 2.129 10.036
Tl 0.000 0.000 0.000
Tl 0.000 0.000 6.691
Mo 0.000 4.259 10.036
Mo 3.688 2.129 3.345
Br -1.134 2.510 8.540
Br -2.081 4.152 11.532
Br 1.134 2.510 11.532
Br -0.948 6.115 8.540
Br 2.741 0.273 1.850
Br 1.607 2.237 4.841
Br 2.081 4.152 8.540
Br 0.948 6.115 11.532
Br 4.636 0.273 4.841
Br 2.555 3.878 1.850
Br 5.770 2.237 1.850
Br 4.822 3.878 4.841

3
Lattice="4.496 0.000 0.000 -2.248 3.894 0.000 0.000 0.000 2.770" Properties=species:S:1:pos:R:3 comment="PBE TaIrPt, relaxed" crystal_system=trigonal total_magnetization_mub_per_cell=0.0 e_tot_ev_per_cell=-27.90 vol_a3_per_atom=16.17 delta_e_f_ev_per_atom=-0.38 pbc="T T T"
Ta 0.000 0.000 0.000
Ir 2.248 1.298 1.187
Pt 0.000 2.596 2.460

14
Lattice="5.106 0.000 0.000 0.000 5.310 0.000 0.000 0.000 16.863" Properties=species:S:1:pos:R:3 comment="PBE La3ErSn2S, relaxed" crystal_system=orthorhombic total_magnetization_mub_per_cell=0.0 e_form_raw_ev_per_atom=-0.96 e_tot_ev_per_cell=-76.46 vol_a3_per_atom=32.66 pbc="T T T"
La 0.000 0.000 0.000
La 0.000 2.655 2.886
La 0.000 2.655 13.977
La 2.553 0.000 5.545
La 2.553 0.000 11.317
La 2.553 2.655 8.431
Er 0.000 0.000 8.431
Er 2.553 2.655 0.000
Sn 0.000 2.655 6.192
Sn 0.000 2.655 10.670
Sn 2.553 0.000 2.239
Sn 2.553 0.000 14.624
S 0.000 2.655 0.000
S 2.553 0.000 8.431

8
Lattice="0.000 5.648 9.303 3.248 0.000 9.303 3.248 5.648 0.000" Properties=species:S:1:pos:R:3 comment="PBE Tl2PbI5, relaxed" crystal_system=orthorhombic total_magnetization_mub_per_cell=0.0 e_form_raw_ev_per_atom=-0.43 e_tot_ev_per_cell=-19.60 vol_a3_per_atom=42.67 pbc="T T T"
Tl 3.248 5.648 3.376
Tl 3.248 5.648 15.230
Pb 3.248 5.648 9.303
I 0.000 0.000 0.000
I 3.248 3.744 6.639
I 3.248 3.744 11.967
I 3.248 7.551 6.639
I 3.248 7.551 11.967

10
Lattice="2.424 -12.919 0.000 2.424 12.919 0.000 0.000 0.000 4.916" Properties=species:S:1:pos:R:3 comment="PBE AcHg2Bi2, relaxed" crystal_system=orthorhombic total_magnetization_mub_per_cell=0.0 e_tot_ev_per_cell=-28.91 vol_a3_per_atom=30.80 delta_e_f_ev_per_atom=-0.40 pbc="T T T"
Ac 2.424 9.220 3.687
Ac 2.424 -9.220 1.229
Hg 2.424 11.860 1.229
Hg 2.424 1.074 1.229
Hg 2.424 -1.074 3.687
Hg 2.424 -11.860 3.687
Bi 2.424 6.476 1.229
Bi 2.424 3.562 3.687
Bi 2.424 -3.562 1.229
Bi 2.424 -6.476 3.687